Here is a geometry-optimized Ce5ZnCd2 structure from the Alexandria database. Energies are from PBE.

Unit cell a=4.5544 b=4.5544 c=19.4562 alpha=90.00 beta=90.00 gamma=90.00
Space group I4/mmm (No. 139)
Symmetry-distinct sites (fractional):
1 Ce 0.0000 0.0000 0.0000 (multiplicity 2)
2 Ce 0.0000 0.5000 0.1217 (multiplicity 8)
3 Zn 0.0000 0.0000 0.5000 (multiplicity 2)
4 Cd 0.0000 0.0000 0.2491 (multiplicity 4)

Output
* total magnetic moment: 4.46 μB per formula unit
* volume: 25.2 A^3/atom
* formation energy from the elements: -0.0707 eV per atom
* energy: -66.7 eV per cell


Here is a geometry-optimized RbTlCdSb structure from the Alexandria database. Energies are from PBE.

Unit cell a=8.0605 b=8.0605 c=8.0605 alpha=90.00 beta=90.00 gamma=90.00
Space group F-43m (No. 216)
Symmetry-distinct sites (fractional):
1 Rb 0.0000 0.0000 0.0000 (multiplicity 4)
2 Tl 0.2500 0.2500 0.7500 (multiplicity 4)
3 Cd 0.2500 0.2500 0.2500 (multiplicity 4)
4 Sb 0.0000 0.0000 0.5000 (multiplicity 4)

Output
* E_form (uncorrected): -57 meV per atom
* total magnetic moment: 0.00 μB per formula unit
* volume: 32.7 A^3/atom
* energy: -34.4 eV per cell
* excess energy over the best structure of this formula in the dataset: 52 kJ/mol of formula units


Here is a geometry-optimized NaV structure from the Alexandria database. Energies are from PBE.

Unit cell a=2.9426 b=2.9431 c=10.4654 alpha=94.21 beta=95.78 gamma=111.27
Space group P1 (No. 1)
Symmetry-distinct sites (fractional):
1 Na 0.0000 0.0000 0.0000 (multiplicity 1)
2 Na 0.3274 0.3532 0.6891 (multiplicity 1)
3 V 0.5940 0.8227 0.4230 (multiplicity 1)
4 V 0.7226 0.5419 0.2658 (multiplicity 1)

Output
* total magnetic moment: 0.00 μB per formula unit
* volume: 20.9 A^3/atom
* formation energy from the elements: 0.5339 eV per atom
* energy: -18.7 eV per cell
* excess energy over the best structure of this formula in the dataset: 9 kJ/mol of formula units


Here is a geometry-optimized DyTm2ScTl4 structure from the Alexandria database. Energies are from PBE.

Unit cell a=5.2711 b=5.2711 c=25.9361 alpha=90.00 beta=90.00 gamma=120.00
Space group R-3m (No. 166, hexagonal axes)
Symmetry-distinct sites (fractional):
1 Dy 0.0000 0.0000 0.0000 (multiplicity 3)
2 Tm 0.0000 0.0000 0.2488 (multiplicity 6)
3 Sc 0.0000 0.0000 0.5000 (multiplicity 3)
4 Tl 0.0000 0.0000 0.1265 (multiplicity 6)
5 Tl 0.0000 0.0000 0.3768 (multiplicity 6)

Output
* total magnetic moment: 0.00 μB per formula unit
* volume: 26.0 A^3/atom
* formation energy from the elements: -0.2885 eV per atom
* energy: -94.9 eV per cell


Here is a geometry-optimized YZr2Co structure from the Alexandria database. Energies are from PBE.

Unit cell a=5.5772 b=9.6099 c=3.2083 alpha=90.00 beta=90.00 gamma=90.00
Space group Cmmm (No. 65)
Symmetry-distinct sites (fractional):
1 Y 0.0000 0.0000 0.0000 (multiplicity 2)
2 Zr 0.2500 0.2500 0.5000 (multiplicity 4)
3 Co 0.0000 0.5000 0.0000 (multiplicity 2)

Output
* total magnetic moment: 0.70 μB per formula unit
* volume: 21.5 A^3/atom
* formation energy from the elements: 0.3690 eV per atom
* energy: -58.4 eV per cell
* excess energy over the best structure of this formula in the dataset: 200 kJ/mol of formula units


Here is a geometry-optimized CoPd3Pt4 structure from the Alexandria database. Energies are from PBE.

Unit cell a=3.9019 b=3.9019 c=15.8193 alpha=90.00 beta=90.00 gamma=90.00
Space group I4/mmm (No. 139)
Symmetry-distinct sites (fractional):
1 Co 0.0000 0.0000 0.0000 (multiplicity 2)
2 Pd 0.0000 0.0000 0.2511 (multiplicity 4)
3 Pd 0.0000 0.0000 0.5000 (multiplicity 2)
4 Pt 0.0000 0.5000 0.1206 (multiplicity 8)

Output
* total magnetic moment: 4.12 μB per formula unit
* volume: 15.1 A^3/atom
* formation energy from the elements: -0.0409 eV per atom
* energy: -94.3 eV per cell
* excess energy over the best structure of this formula in the dataset: 0 kJ/mol of formula units


Here is a geometry-optimized Y5Ge2Se2 structure from the Alexandria database. Energies are from PBE.

Unit cell a=14.6140 b=7.6641 c=7.7404 alpha=90.00 beta=90.00 gamma=90.00
Space group Cmce (No. 64)
Symmetry-distinct sites (fractional):
1 Y 0.0000 0.0000 0.0000 (multiplicity 4)
2 Y 0.1341 0.1646 0.3388 (multiplicity 16)
3 Ge 0.0000 0.1375 0.6366 (multiplicity 8)
4 Se 0.2000 0.0000 0.0000 (multiplicity 8)

Output
* E_form (uncorrected): -1210 meV per atom
* total magnetic moment: 0.00 μB per formula unit
* volume: 24.1 A^3/atom
* energy: -237.7 eV per cell


Here is a geometry-optimized Pm4Pr3Nd2 structure from the Alexandria database. Energies are from PBE.

Unit cell a=3.6741 b=3.6741 c=27.4589 alpha=90.00 beta=90.00 gamma=120.00
Space group P3m1 (No. 156)
Symmetry-distinct sites (fractional):
1 Pm 0.0000 0.0000 0.0000 (multiplicity 1)
2 Pm 0.0000 0.0000 0.2190 (multiplicity 1)
3 Pm 0.3333 0.6667 0.3253 (multiplicity 1)
4 Pm 0.3333 0.6667 0.5465 (multiplicity 1)
5 Pr 0.0000 0.0000 0.4361 (multiplicity 1)
6 Pr 0.3333 0.6667 0.1059 (multiplicity 1)
7 Pr 0.3333 0.6667 0.7677 (multiplicity 1)
8 Nd 0.0000 0.0000 0.6539 (multiplicity 1)
9 Nd 0.0000 0.0000 0.8746 (multiplicity 1)

Output
* total magnetic moment: 0.00 μB per formula unit
* volume: 35.7 A^3/atom
* formation energy from the elements: 0.0623 eV per atom
* energy: -42.3 eV per cell
* excess energy over the best structure of this formula in the dataset: 43 kJ/mol of formula units